Material: CaHoGa2
Method: DFT, PBE
State: relaxed

a b c (Å): 3.6439 3.6439 27.0587
angles (deg): 90.00 90.00 120.00
Last column: nearest neighbours and their distance in Å.
Space group R-3m (No. 166, hexagonal axes)
Unique sites:
1 Ca 0.0000 0.0000 0.0000 [3 per cell]  6 Ga 3.13
2 Ho 0.0000 0.0000 0.5000 [3 per cell]  6 Ga 3.04
3 Ga 0.0000 0.0000 0.2477 [6 per cell]  3 Ho 3.04, 3 Ca 3.13

Calculated values
DFT formation energy in eV per atom: -0.31
Energy in Ry per atom: -0.255

Material: LaTlAgPd
Method: DFT, PBE
State: relaxed

a b c (Å): 7.1874 7.1874 7.1874
angles (deg): 90.00 90.00 90.00
Last column: nearest neighbours and their distance in Å.
Space group F-43m (No. 216)
Unique sites:
1 La 0.0000 0.0000 0.0000 [4 per cell]  4 Pd 3.11, 4 Ag 3.11
2 Tl 0.0000 0.0000 0.5000 [4 per cell]  4 Ag 3.11, 4 Pd 3.11
3 Ag 0.2500 0.2500 0.7500 [4 per cell]  4 Tl 3.11, 4 La 3.11
4 Pd 0.2500 0.2500 0.2500 [4 per cell]  4 Tl 3.11, 4 La 3.11

Calculated values
DFT formation energy in eV per atom: -0.40
Energy in Ry per atom: -0.311

Material: Sc6ReNi5
Method: DFT, PBE
State: relaxed

a b c (Å): 4.5271 6.3244 13.5648
angles (deg): 90.00 90.00 90.00
Last column: nearest neighbours and their distance in Å.
Space group Immm (No. 71)
Unique sites:
1 Sc 0.0000 0.2487 0.0000 [4 per cell]  6 Ni 2.73-2.81, 2 Re 2.77
2 Sc 0.0000 0.2505 0.3335 [8 per cell]  7 Ni 2.71-2.79, 1 Re 2.76
3 Re 0.0000 0.0000 0.5000 [2 per cell]  8 Sc 2.76-2.77
4 Ni 0.0000 0.0000 0.1713 [4 per cell]  8 Sc 2.71-2.81
5 Ni 0.0000 0.5000 0.1639 [4 per cell]  8 Sc 2.73-2.79
6 Ni 0.0000 0.5000 0.5000 [2 per cell]  8 Sc 2.76

Calculated values
DFT formation energy in eV per atom: -0.42
Energy in Ry per atom: -0.517

Material: Zr2Be2ZnNi5
Method: DFT, PBE
State: relaxed

a b c (Å): 8.7586 8.7586 3.3022
angles (deg): 90.00 90.00 90.00
Last column: nearest neighbours and their distance in Å.
Space group P4/mbm (No. 127)
Unique sites:
1 Zr 0.1812 0.3188 0.0000 [4 per cell]  3 Be 2.55-2.64, 10 Ni 2.79-2.85
2 Be 0.1130 0.6130 0.0000 [4 per cell]  6 Ni 2.16-2.25
3 Zn 0.0000 0.0000 0.0000 [2 per cell]  8 Ni 2.59
4 Ni 0.0000 0.5000 0.5000 [2 per cell]  4 Be 2.16
5 Ni 0.0650 0.7814 0.5000 [8 per cell]  2 Be 2.25

Calculated values
DFT formation energy in eV per atom: -0.39
Energy in Ry per atom: -0.431

Material: YVI2N
Method: DFT, PBE
State: relaxed

a b c (Å): 5.6707 5.6707 3.7174
angles (deg): 90.00 90.00 90.00
Last column: nearest neighbours and their distance in Å.
Space group P4/mmm (No. 123)
Unique sites:
1 Y 0.0000 0.0000 0.0000 [1 per cell]  8 I 3.39, 2 Y 3.72
2 V 0.5000 0.5000 0.5000 [1 per cell]  2 N 1.86
3 I 0.0000 0.5000 0.5000 [2 per cell]  2 V 2.84
4 N 0.5000 0.5000 0.0000 [1 per cell]  2 V 1.86

Calculated values
Formation energy (no corrections) in eV/atom: -0.2269
Energy above the lowest structure with this stoichiometry in meV/atom: 0
Energy in Ry per atom: -0.414

Material: Ca2MgReTc
Method: DFT, PBE
State: relaxed

a b c (Å): 5.3458 5.3458 4.6878
angles (deg): 90.00 90.00 90.00
Last column: nearest neighbours and their distance in Å.
Space group P4/mmm (No. 123)
Unique sites:
1 Ca 0.0000 0.5000 0.0000 [2 per cell]  2 Mg 2.67
2 Mg 0.0000 0.0000 0.0000 [1 per cell]  2 Tc 2.34
3 Re 0.5000 0.5000 0.5000 [1 per cell]  8 Ca 3.56, 4 Tc 3.78
4 Tc 0.0000 0.0000 0.5000 [1 per cell]  2 Mg 2.34

Calculated values
DFT formation energy in eV per atom: 1.84
Energy in Ry per atom: -0.282

Material: CePSe
Method: DFT, PBE
State: relaxed

a b c (Å): 3.8985 3.8985 9.6644
angles (deg): 90.00 90.00 90.00
Last column: nearest neighbours and their distance in Å.
Space group I4mm (No. 107)
Unique sites:
1 Ce 0.0000 0.0000 0.0000 [2 per cell]  4 P 2.90, 4 Se 3.12
2 P 0.0000 0.0000 0.5923 [2 per cell]  1 Se 2.35
3 Se 0.0000 0.0000 0.3489 [2 per cell]  1 P 2.35

Calculated values
Formation energy (no corrections) in eV/atom: -1.0778
Energy in Ry per atom: -0.443

Material: Dy12In3Tc
Method: DFT, PBE
State: relaxed

a b c (Å): 4.8076 4.8076 19.0361
angles (deg): 90.00 90.00 90.00
Last column: nearest neighbours and their distance in Å.
Space group P4/mmm (No. 123)
Unique sites:
1 Dy 0.0000 0.0000 0.0000 [1 per cell]  8 Dy 3.19, 4 Tc 3.40
2 Dy 0.0000 0.0000 0.2430 [2 per cell]  4 In 3.40, 8 Dy 3.43-3.48
3 Dy 0.0000 0.0000 0.5000 [1 per cell]  4 In 3.40, 8 Dy 3.43
4 Dy 0.0000 0.5000 0.1105 [4 per cell]  8 Dy 3.19-3.48, 2 Tc 3.19, 2 In 3.53
5 Dy 0.0000 0.5000 0.3712 [4 per cell]  4 In 3.38-3.43, 8 Dy 3.40-3.43
6 In 0.5000 0.5000 0.2462 [2 per cell]  12 Dy 3.38-3.53
7 In 0.5000 0.5000 0.5000 [1 per cell]  12 Dy 3.40-3.43
8 Tc 0.5000 0.5000 0.0000 [1 per cell]  12 Dy 3.19-3.40

Calculated values
DFT formation energy in eV per atom: -0.15
Energy in Ry per atom: -0.350

Material: CaAcAu
Method: DFT, PBE
State: relaxed

a b c (Å): 3.8230 3.8230 13.5307
angles (deg): 90.00 90.00 90.00
Last column: nearest neighbours and their distance in Å.
Space group I4mm (No. 107)
Unique sites:
1 Ca 0.0000 0.0000 0.0000 [2 per cell]  4 Au 3.21
2 Ac 0.0000 0.0000 0.2673 [2 per cell]  4 Au 3.30, 1 Ca 3.62
3 Au 0.0000 0.0000 0.6275 [2 per cell]  4 Ca 3.21, 4 Ac 3.30

Calculated values
DFT formation energy in eV per atom: -0.51
Energy above the lowest structure with this stoichiometry in meV/atom: 39
Energy in Ry per atom: -0.267

Material: KGaF2
Method: DFT, PBE
State: relaxed

a b c (Å): 3.7675 3.7675 21.5906
angles (deg): 90.00 90.00 120.00
Last column: nearest neighbours and their distance in Å.
Space group R-3m (No. 166, hexagonal axes)
Unique sites:
1 K 0.0000 0.0000 0.0000 [3 per cell]  6 F 2.65
2 Ga 0.0000 0.0000 0.5000 [3 per cell]  2 F 2.09
3 F 0.0000 0.0000 0.4034 [6 per cell]  1 Ga 2.09

Calculated values
Formation energy (no corrections) in eV/atom: -2.0580
Energy above the lowest structure with this stoichiometry in meV/atom: 0
Energy in Ry per atom: -0.296

Material: HfGaSn
Method: DFT, PBE
State: relaxed

a b c (Å): 4.9143 4.9143 2.9642
angles (deg): 90.00 90.00 120.00
Last column: nearest neighbours and their distance in Å.
Space group P-6m2 (No. 187)
Unique sites:
1 Hf 0.0000 0.0000 0.0000 [1 per cell]  2 Hf 2.96, 6 Sn 3.20, 6 Ga 3.20
2 Ga 0.3333 0.6667 0.5000 [1 per cell]  3 Sn 2.84, 2 Ga 2.96
3 Sn 0.6667 0.3333 0.5000 [1 per cell]  3 Ga 2.84, 2 Sn 2.96

Calculated values
DFT formation energy in eV per atom: -0.02
Energy above the lowest structure with this stoichiometry in meV/atom: 293
Energy in Ry per atom: -0.418

Material: Sm5Cd2Hg12
Method: DFT, PBE
State: relaxed

a b c (Å): 16.0175 7.9027 7.7819
angles (deg): 90.00 91.03 90.00
Last column: nearest neighbours and their distance in Å.
Space group C2/m (No. 12)
Unique sites:
1 Sm 0.0000 0.0000 0.0000 [2 per cell]  4 Hg 3.14
2 Sm 0.1808 0.5000 0.5496 [4 per cell]  8 Hg 3.19-3.30, 2 Cd 3.56
3 Sm 0.2433 0.0000 0.9261 [4 per cell]  9 Hg 3.09-3.28
4 Cd 0.0000 0.2408 0.5000 [4 per cell]  4 Hg 2.93-3.04
5 Hg 0.0472 0.5000 0.2302 [4 per cell]  2 Cd 3.04, 6 Hg 3.07-3.36, 1 Sm 3.25
6 Hg 0.1110 0.3014 0.8734 [8 per cell]  5 Hg 3.07-3.36, 4 Sm 3.14-3.21, 1 Cd 3.41
7 Hg 0.1309 0.0000 0.5998 [4 per cell]  2 Cd 2.93, 2 Sm 3.09-3.25, 4 Hg 3.12-3.21
8 Hg 0.1662 0.1959 0.2600 [8 per cell]  4 Hg 3.07-3.23, 4 Sm 3.17-3.30, 1 Cd 3.30

Calculated values
DFT formation energy in eV per atom: -0.29
Energy in Ry per atom: -0.134

Material: Ti6In2Si2P12O49
Method: DFT, PBE
State: relaxed

a b c (Å): 8.5950 8.5950 45.2745
angles (deg): 90.00 90.00 120.00
Last column: nearest neighbours and their distance in Å.
Space group R-3 (No. 148, hexagonal axes)
Unique sites:
1 Ti 0.0000 0.0000 0.0698 [6 per cell]  6 O 1.90-2.00
2 Ti 0.0000 0.0000 0.2441 [6 per cell]  3 O 1.84
3 Ti 0.0000 0.0000 0.3441 [6 per cell]  6 O 1.93-1.98
4 In 0.0000 0.0000 0.1732 [6 per cell]  6 O 2.11-2.25
5 Si 0.0000 0.0000 0.4645 [6 per cell]  4 O 1.61-1.63
6 P 0.0007 0.2860 0.2929 [18 per cell]  4 O 1.53-1.58
7 P 0.0012 0.2945 0.1226 [18 per cell]  4 O 1.51-1.58
8 O 0.0000 0.0000 0.5000 [3 per cell]  2 Si 1.61
9 O 0.0058 0.1888 0.0963 [18 per cell]  1 P 1.51
10 O 0.0078 0.1894 0.9531 [18 per cell]  1 P 1.54
11 O 0.0128 0.1818 0.4511 [18 per cell]  1 P 1.58, 1 Si 1.63
12 O 0.0322 0.2008 0.2642 [18 per cell]  1 P 1.58
13 O 0.0364 0.1905 0.7898 [18 per cell]  1 P 1.56
14 O 0.0367 0.2357 0.1525 [18 per cell]  1 P 1.53
15 O 0.0495 0.8436 0.3681 [18 per cell]  1 P 1.53
16 O 0.0542 0.8479 0.6817 [18 per cell]  1 P 1.53

Calculated values
Formation energy (no corrections) in eV/atom: -2.4580
Energy in Ry per atom: -0.565

Material: LiSnAuO4
Method: DFT, PBE
State: relaxed

a b c (Å): 6.0616 6.1502 10.4317
angles (deg): 90.00 90.00 90.00
Last column: nearest neighbours and their distance in Å.
Space group Imma (No. 74)
Unique sites:
1 Li 0.0000 0.2500 0.1260 [4 per cell]  2 O 1.98
2 Sn 0.0000 0.0000 0.5000 [4 per cell]  6 O 2.07-2.24
3 Au 0.2500 0.2500 0.7500 [4 per cell]  4 O 2.06
4 O 0.0000 0.0319 0.7141 [8 per cell]  2 Au 2.06, 1 Sn 2.24
5 O 0.2263 0.2500 0.4784 [8 per cell]  1 Li 1.98, 2 Sn 2.07

Calculated values
Formation energy (no corrections) in eV/atom: -1.1120
Energy in Ry per atom: -0.387

Material: Pm6PrIn
Method: DFT, PBE
State: relaxed

a b c (Å): 5.0209 5.0209 10.3728
angles (deg): 90.00 90.00 90.00
Last column: nearest neighbours and their distance in Å.
Space group P4/mmm (No. 123)
Unique sites:
1 Pm 0.0000 0.0000 0.0000 [1 per cell]  8 Pm 3.54, 4 In 3.55
2 Pm 0.0000 0.0000 0.5000 [1 per cell]  4 Pr 3.55, 8 Pm 3.68
3 Pm 0.0000 0.5000 0.2405 [4 per cell]  2 In 3.54, 8 Pm 3.54-3.68, 2 Pr 3.68
4 Pr 0.5000 0.5000 0.5000 [1 per cell]  12 Pm 3.55-3.68
5 In 0.5000 0.5000 0.0000 [1 per cell]  12 Pm 3.54-3.55

Calculated values
DFT formation energy in eV per atom: -0.11
Energy in Ry per atom: -0.339

Material: KMg2GaSe4
Method: DFT, PBE
State: relaxed

a b c (Å): 3.8987 14.6393 14.4358
angles (deg): 90.00 90.00 90.00
Last column: nearest neighbours and their distance in Å.
Space group Cmcm (No. 63)
Unique sites:
1 K 0.0000 0.1298 0.2500 [4 per cell]  6 Se 3.29-3.46
2 Mg 0.0000 0.3869 0.0565 [8 per cell]  5 Se 2.68-2.94
3 Ga 0.0000 0.1562 0.7500 [4 per cell]  4 Se 2.39-2.48
4 Se 0.0000 0.0000 0.0000 [4 per cell]  4 Mg 2.68
5 Se 0.0000 0.2366 0.6060 [8 per cell]  1 Ga 2.39
6 Se 0.0000 0.4489 0.2500 [4 per cell]  2 Ga 2.48

Calculated values
Formation energy (no corrections) in eV/atom: -1.0194
Energy in Ry per atom: -0.270

Material: Mg4RhAu3
Method: DFT, PBE
State: relaxed

a b c (Å): 3.2551 3.2551 13.0361
angles (deg): 90.00 90.00 90.00
Last column: nearest neighbours and their distance in Å.
Space group P4/mmm (No. 123)
Unique sites:
1 Mg 0.0000 0.0000 0.1113 [2 per cell]  4 Rh 2.72, 4 Au 2.85, 1 Mg 2.90
2 Mg 0.0000 0.0000 0.3709 [2 per cell]  8 Au 2.85-2.86
3 Rh 0.5000 0.5000 0.0000 [1 per cell]  8 Mg 2.72
4 Au 0.5000 0.5000 0.2404 [2 per cell]  8 Mg 2.85-2.86, 1 Rh 3.13
5 Au 0.5000 0.5000 0.5000 [1 per cell]  8 Mg 2.85

Calculated values
DFT formation energy in eV per atom: -0.59
Energy in Ry per atom: -0.260

Material: MgRe2W
Method: DFT, PBE
State: relaxed

a b c (Å): 3.1102 4.4612 9.0147
angles (deg): 90.00 90.00 90.00
Last column: nearest neighbours and their distance in Å.
Space group Imm2 (No. 44)
Unique sites:
1 Mg 0.0000 0.0000 0.0000 [2 per cell]  6 Re 2.72-2.81, 2 W 2.85
2 Re 0.0000 0.0000 0.4962 [2 per cell]  2 Re 2.64, 2 W 2.65, 4 Mg 2.72
3 Re 0.0000 0.5000 0.7593 [2 per cell]  2 Re 2.64, 4 W 2.73, 2 Mg 2.81
4 W 0.0000 0.5000 0.2345 [2 per cell]  6 Re 2.65-2.73, 2 Mg 2.85

Calculated values
DFT formation energy in eV per atom: 0.21
Energy in Ry per atom: -0.709

Material: Ba3Ta2O7
Method: DFT, PBE
State: relaxed

a b c (Å): 4.0773 27.3641 4.0789
angles (deg): 90.00 90.00 90.00
Last column: nearest neighbours and their distance in Å.
Space group Cmmm (No. 65)
Unique sites:
1 Ba 0.0000 0.0000 0.0000 [2 per cell]  12 O 2.88-2.91
2 Ba 0.0000 0.1581 0.0000 [4 per cell]  8 O 2.89-3.03
3 Ta 0.0000 0.4225 0.5000 [4 per cell]  6 O 1.95-2.12
4 O 0.0000 0.0760 0.5000 [4 per cell]  2 Ta 2.04
5 O 0.0000 0.3512 0.5000 [4 per cell]  1 Ta 1.95
6 O 0.0000 0.4240 0.0000 [4 per cell]  2 Ta 2.04
7 O 0.0000 0.5000 0.5000 [2 per cell]  2 Ta 2.12

Calculated values
Formation energy (no corrections) in eV/atom: -2.7672
Energy in Ry per atom: -0.596

Material: Ba4TmZr3O12
Method: DFT, PBE
State: relaxed

a b c (Å): 8.5811 8.5811 8.5811
angles (deg): 90.00 90.00 90.00
Last column: nearest neighbours and their distance in Å.
Space group Im-3m (No. 229)
Unique sites:
1 Ba 0.2500 0.2500 0.2500 [8 per cell]  12 O 3.03
2 Tm 0.0000 0.0000 0.0000 [2 per cell]  6 O 2.20
3 Zr 0.0000 0.0000 0.5000 [6 per cell]  6 O 2.09-2.15
4 O 0.0000 0.0000 0.2569 [12 per cell]  1 Zr 2.09, 1 Tm 2.20
5 O 0.0000 0.2500 0.5000 [12 per cell]  2 Zr 2.15

Calculated values
Formation energy (no corrections) in eV/atom: -3.1140
Energy in Ry per atom: -0.586